No. 1
Sc2ReNi2: relaxed, GGA-PBE.

a b c (Å): 7.367 7.367 2.853
angles (deg): 90.00 90.00 90.00
Fractional positions:
Sc: 0.159 0.341 0.000
Sc: 0.341 0.841 0.000
Sc: 0.659 0.159 0.000
Sc: 0.841 0.659 0.000
Re: 0.000 0.000 0.000
Re: 0.500 0.500 0.000
Ni: 0.139 0.639 0.500
Ni: 0.361 0.139 0.500
Ni: 0.639 0.861 0.500
Ni: 0.861 0.361 0.500

Properties
Total DFT energy (no corrections): -0.2677 Ha/atom
Formation energy from the elements: 0.050 eV/atom
Space-group type: No. 127
Energy above the lowest structure with this stoichiometry: 1.24 eV per formula unit



No. 2
Sc2ReNi: relaxed, GGA-PBE.

a b c (Å): 5.254 5.254 5.254
angles (deg): 136.81 136.81 62.72
Fractional positions:
Sc: 0.000 0.000 0.000
Sc: 0.750 0.250 0.500
Re: 0.500 0.500 0.000
Ni: 0.250 0.750 0.500

Properties
Total DFT energy (no corrections): -0.2842 Ha/atom
Formation energy from the elements: -0.010 eV/atom
Space-group type: No. 119



No. 3
ScRe3Ni: relaxed, GGA-PBE.

a b c (Å): 4.541 4.541 4.541
angles (deg): 90.00 90.00 90.00
Fractional positions:
Sc: 0.000 0.000 0.000
Re: 0.000 0.000 0.500
Re: 0.000 0.500 0.000
Re: 0.500 0.000 0.000
Ni: 0.500 0.500 0.500

Properties
Total DFT energy (no corrections): -0.2674 Ha/atom
Formation energy from the elements: 2.614 eV/atom
Space-group type: No. 221
Energy above the lowest structure with this stoichiometry: 6.58 eV per formula unit



No. 4
ScReNi2: relaxed, GGA-PBE.

a b c (Å): 8.934 8.934 8.934
angles (deg): 155.16 155.16 35.42
Fractional positions:
Sc: 0.000 0.000 0.000
Sc: 0.750 0.250 0.500
Re: 0.250 0.750 0.500
Re: 0.500 0.500 0.000
Ni: 0.157 0.625 0.032
Ni: 0.375 0.407 0.532
Ni: 0.593 0.125 0.968
Ni: 0.875 0.843 0.468

Properties
Total DFT energy (no corrections): -0.2615 Ha/atom
Formation energy from the elements: 0.469 eV/atom
Space-group type: No. 122
Energy above the lowest structure with this stoichiometry: 2.42 eV per formula unit



No. 5
ScReNi2: relaxed, GGA-PBE.

a b c (Å): 4.536 4.536 4.536
angles (deg): 128.26 128.26 76.21
Fractional positions:
Sc: 0.000 0.000 0.000
Re: 0.500 0.500 0.000
Ni: 0.250 0.750 0.500
Ni: 0.750 0.250 0.500

Properties
Total DFT energy (no corrections): -0.2794 Ha/atom
Formation energy from the elements: -0.018 eV/atom
Space-group type: No. 139
Energy above the lowest structure with this stoichiometry: 0.48 eV per formula unit



No. 6
ScReNi2: relaxed, GGA-PBE.

a b c (Å): 4.309 4.309 4.309
angles (deg): 60.00 60.00 60.00
Fractional positions:
Sc: 0.000 0.000 0.000
Re: 0.500 0.500 0.500
Ni: 0.250 0.250 0.250
Ni: 0.750 0.750 0.750

Properties
Total DFT energy (no corrections): -0.2785 Ha/atom
Formation energy from the elements: 0.008 eV/atom
Space-group type: No. 225
Energy above the lowest structure with this stoichiometry: 0.58 eV per formula unit



No. 7
ScReNi2: relaxed, GGA-PBE.

a b c (Å): 4.516 4.516 5.057
angles (deg): 97.52 97.52 34.69
Fractional positions:
Sc: 0.000 0.000 0.000
Re: 0.500 0.500 0.500
Ni: 0.245 0.245 0.710
Ni: 0.755 0.755 0.290

Properties
Total DFT energy (no corrections): -0.2769 Ha/atom
Formation energy from the elements: 0.052 eV/atom
Space-group type: No. 12
Energy above the lowest structure with this stoichiometry: 0.76 eV per formula unit



No. 8
ScReNi2: relaxed, GGA-PBE.

a b c (Å): 4.682 2.668 4.927
angles (deg): 90.00 113.07 90.00
Fractional positions:
Sc: 0.000 0.000 0.000
Re: 0.000 0.500 0.500
Ni: 0.500 0.000 0.500
Ni: 0.500 0.500 0.000

Properties
Total DFT energy (no corrections): -0.2765 Ha/atom
Formation energy from the elements: 0.062 eV/atom
Space-group type: No. 10
Energy above the lowest structure with this stoichiometry: 0.80 eV per formula unit



What did the third record say?
ScRe3Ni: relaxed, GGA-PBE.

a b c (Å): 4.541 4.541 4.541
angles (deg): 90.00 90.00 90.00
Fractional positions:
Sc: 0.000 0.000 0.000
Re: 0.000 0.000 0.500
Re: 0.000 0.500 0.000
Re: 0.500 0.000 0.000
Ni: 0.500 0.500 0.500

Properties
Total DFT energy (no corrections): -0.2674 Ha/atom
Formation energy from the elements: 2.614 eV/atom
Space-group type: No. 221
Energy above the lowest structure with this stoichiometry: 6.58 eV per formula unit